CaReN3 PBE relaxed; total DFT energy (no corrections) = -7.158 eV/atom; ΔE_f (raw) = 727 meV/atom; space-group type = P4mm; total moment = 0.25 μB per cell; Fermi-level density of states = 2.4 states/eV/cell
1.0
3.952 0.000 0.000
0.000 3.952 0.000
0.000 0.000 4.655
Ca Re N
1 1 3
direct
0.000 0.000 0.000
0.500 0.500 0.397
0.000 0.000 0.496
0.000 0.500 0.396
0.500 0.000 0.396

ErPS4I PBE relaxed; total DFT energy (no corrections) = -4.660 eV/atom; ΔE_f (raw) = -655 meV/atom; space-group type = C2/m; total moment = 0.00 μB per cell; Fermi-level density of states = 1.3 states/eV/cell
1.0
6.934 -3.806 0.000
6.934 3.806 0.000
-0.696 0.000 8.699
Er P S I
2 2 8 2
direct
0.160 0.160 0.488
0.840 0.840 0.512
0.364 0.364 0.785
0.636 0.636 0.215
0.078 0.489 0.668
0.349 0.349 0.009
0.489 0.078 0.668
0.496 0.496 0.245
0.504 0.504 0.755
0.511 0.922 0.332
0.651 0.651 0.991
0.922 0.511 0.332
0.022 0.022 0.731
0.978 0.978 0.269

Pu2ZnGe2 PBE relaxed; total DFT energy (no corrections) = -8.201 eV/atom; calculated formation energy = -0.366 eV per atom; space-group type = P4/mnc; total moment = 44.16 μB per cell; Fermi-level density of states = 51.9 states/eV/cell
1.0
6.953 0.000 0.000
0.000 6.953 0.000
0.000 0.000 8.934
Pu Zn Ge
8 4 8
direct
0.169 0.329 0.000
0.171 0.331 0.500
0.329 0.831 0.000
0.331 0.829 0.500
0.669 0.171 0.500
0.671 0.169 0.000
0.829 0.669 0.500
0.831 0.671 0.000
0.000 0.000 0.269
0.000 0.000 0.731
0.500 0.500 0.231
0.500 0.500 0.769
0.132 0.632 0.250
0.132 0.632 0.750
0.368 0.132 0.250
0.368 0.132 0.750
0.632 0.868 0.250
0.632 0.868 0.750
0.868 0.368 0.250
0.868 0.368 0.750